The following is a PBE calculation of a relaxed MnZnMo crystal, from Alexandria.

a = 4.2571 Å, b = 4.2571 Å, c = 2.6419 Å
α = 90.00°, β = 90.00°, γ = 120.00°
Fractional positions:
Mn (0.0000, 0.0000, 0.0000)
Zn (0.6667, 0.3333, 0.6981)
Mo (0.3333, 0.6667, 0.2659)

Results
As for the energy of formation: 0.1200 eV per atom. As for the space group: P3m1. The calculation puts the relative energy among the computed polymorphs at 19.5 meV per atom.

=====

The following is a PBE calculation of a relaxed La2SmPuSb4 crystal, from Alexandria.

a = 7.8545 Å, b = 4.5472 Å, c = 7.8589 Å
α = 90.00°, β = 109.49°, γ = 90.00°
Fractional positions:
La (0.0000, 0.0000, 0.0000)
La (0.0000, 0.5000, 0.5000)
Sm (0.5000, 0.0000, 0.5000)
Pu (0.5000, 0.5000, 0.0000)
Sb (0.2595, 0.5000, 0.2512)
Sb (0.2614, 0.0000, 0.7558)
Sb (0.7386, 0.0000, 0.2442)
Sb (0.7405, 0.5000, 0.7488)

Results
As for the space group: P2/m. Its uncorrected formation energy is -1.07 eV per atom.

=====

The following is a PBE calculation of a relaxed Cs3Tl12Pt5 crystal, from Alexandria.

a = 15.9044 Å, b = 15.9044 Å, c = 15.9044 Å
α = 109.47°, β = 109.47°, γ = 109.47°
Fractional positions:
Cs (0.1250, 0.2500, 0.3750)
Cs (0.1250, 0.3750, 0.7500)
Cs (0.2500, 0.3750, 0.1250)
Cs (0.2500, 0.8750, 0.6250)
Cs (0.3750, 0.1250, 0.2500)
Cs (0.3750, 0.7500, 0.1250)
Cs (0.6250, 0.2500, 0.8750)
Cs (0.6250, 0.8750, 0.7500)
Cs (0.7500, 0.1250, 0.3750)
Cs (0.7500, 0.6250, 0.8750)
Cs (0.8750, 0.6250, 0.2500)
Cs (0.8750, 0.7500, 0.6250)
Tl (0.0204, 0.6956, 0.0738)
Tl (0.0204, 0.8248, 0.9466)
Tl (0.0534, 0.5738, 0.8782)
Tl (0.0534, 0.9796, 0.1752)
Tl (0.0738, 0.0204, 0.6956)
Tl (0.0738, 0.5534, 0.3782)
Tl (0.1218, 0.6752, 0.6956)
Tl (0.1218, 0.9466, 0.4262)
Tl (0.1752, 0.0534, 0.9796)
Tl (0.1752, 0.6218, 0.1956)
Tl (0.1956, 0.1752, 0.6218)
Tl (0.1956, 0.5204, 0.5738)
Tl (0.3044, 0.8782, 0.3248)
Tl (0.3044, 0.9262, 0.9796)
Tl (0.3248, 0.3044, 0.8782)
Tl (0.3248, 0.5204, 0.4466)
Tl (0.3782, 0.0738, 0.5534)
Tl (0.3782, 0.8044, 0.8248)
Tl (0.4262, 0.1218, 0.9466)
Tl (0.4262, 0.8044, 0.4796)
Tl (0.4466, 0.3248, 0.5204)
Tl (0.4466, 0.6218, 0.9262)
Tl (0.4796, 0.4262, 0.8044)
Tl (0.4796, 0.5534, 0.6752)
Tl (0.5204, 0.4466, 0.3248)
Tl (0.5204, 0.5738, 0.1956)
Tl (0.5534, 0.3782, 0.0738)
Tl (0.5534, 0.6752, 0.4796)
Tl (0.5738, 0.1956, 0.5204)
Tl (0.5738, 0.8782, 0.0534)
Tl (0.6218, 0.1956, 0.1752)
Tl (0.6218, 0.9262, 0.4466)
Tl (0.6752, 0.4796, 0.5534)
Tl (0.6752, 0.6956, 0.1218)
Tl (0.6956, 0.0738, 0.0204)
Tl (0.6956, 0.1218, 0.6752)
Tl (0.8044, 0.4796, 0.4262)
Tl (0.8044, 0.8248, 0.3782)
Tl (0.8248, 0.3782, 0.8044)
Tl (0.8248, 0.9466, 0.0204)
Tl (0.8782, 0.0534, 0.5738)
Tl (0.8782, 0.3248, 0.3044)
Tl (0.9262, 0.4466, 0.6218)
Tl (0.9262, 0.9796, 0.3044)
Tl (0.9466, 0.0204, 0.8248)
Tl (0.9466, 0.4262, 0.1218)
Tl (0.9796, 0.1752, 0.0534)
Tl (0.9796, 0.3044, 0.9262)
Pt (0.0000, 0.0000, 0.0000)
Pt (0.0000, 0.0000, 0.5000)
Pt (0.0000, 0.5000, 0.0000)
Pt (0.0000, 0.5000, 0.5000)
Pt (0.1250, 0.7500, 0.8750)
Pt (0.1250, 0.8750, 0.2500)
Pt (0.2500, 0.1250, 0.8750)
Pt (0.2500, 0.6250, 0.3750)
Pt (0.3750, 0.2500, 0.6250)
Pt (0.3750, 0.6250, 0.7500)
Pt (0.5000, 0.0000, 0.0000)
Pt (0.5000, 0.0000, 0.5000)
Pt (0.5000, 0.5000, 0.0000)
Pt (0.5000, 0.5000, 0.5000)
Pt (0.6250, 0.3750, 0.2500)
Pt (0.6250, 0.7500, 0.3750)
Pt (0.7500, 0.3750, 0.6250)
Pt (0.7500, 0.8750, 0.1250)
Pt (0.8750, 0.1250, 0.7500)
Pt (0.8750, 0.2500, 0.1250)

Results
As for the energy of formation: -0.0100 eV per atom. As for the space group: Ia-3d.

=====

The following is a PBE calculation of a relaxed ReP2HS crystal, from Alexandria.

a = 4.6367 Å, b = 4.6367 Å, c = 4.6764 Å
α = 90.00°, β = 90.00°, γ = 90.00°
Fractional positions:
Re (0.0000, 0.0000, 0.0000)
P (0.0000, 0.5000, 0.0000)
P (0.5000, 0.0000, 0.0000)
H (0.5000, 0.5000, 0.5000)
S (0.0000, 0.0000, 0.5000)

Results
As for the space group: P4/mmm. The calculation puts the relative energy among the computed polymorphs at 0.0 meV per atom.

=====

Ρ values, unit kg/m3, following the record order: 8662 7275 8207 4645.
Total magnetic moment values, unit μB per cell, following the record order: 1.22 4.99 0.00 1.17.